A plane-wave DFT calculation with PBE was carried out for crystalline CuPtPb2O6 at its relaxed geometry.

E_form (uncorrected) in eV/atom: -0.71
Electronic total energy in eV/f.u.: -54.39
Space-group type: No. 146

Geometry as POSCAR:
```
CuPtPb2O6
1.0
2.8239 1.6304 4.7687
-2.8239 1.6304 4.7687
0.0000 -3.2607 4.7687
Cu Pt Pb O
1 1 2 6
Direct
0.0000 0.0000 0.0000 Cu
0.5123 0.5123 0.5123 Pt
0.2215 0.2215 0.2215 Pb
0.7349 0.7349 0.7349 Pb
0.1757 0.3627 0.7760 O
0.2912 0.8644 0.6441 O
0.3627 0.7760 0.1757 O
0.6441 0.2912 0.8644 O
0.7760 0.1757 0.3627 O
0.8644 0.6441 0.2912 O
```